Entry 1:
10
Lattice="8.743 0.000 0.000 0.000 8.743 0.000 0.000 0.000 3.588" Properties=species:S:1:pos:R:3 comment="TlAs2Se2 | Alexandria | PBE-GGA | relaxed" total_magnetization_mub_per_fu=0.0 polymorph_energy_mev_per_atom=0 pbc="T T T"
Tl 0.000 0.000 0.000
Tl 4.371 4.371 0.000
As 1.833 2.538 0.000
As 2.538 6.909 0.000
As 6.205 1.833 0.000
As 6.909 6.205 0.000
Se 1.340 5.711 1.794
Se 3.031 1.340 1.794
Se 5.711 7.403 1.794
Se 7.403 3.031 1.794

=====

Entry 2:
12
Lattice="5.981 -3.813 0.000 5.981 3.813 0.000 -3.694 0.000 8.035" Properties=species:S:1:pos:R:3 comment="TlSiAgSe3 | Alexandria | PBE-GGA | relaxed" total_magnetization_mub_per_fu=0.0 final_energy_ev_per_atom=-3.7652 pbc="T T T"
Tl 1.411 0.000 1.871
Tl 6.857 0.000 6.164
Si 2.604 0.000 5.869
Si 5.663 0.000 2.166
Ag 4.134 1.799 4.017
Ag 4.134 -1.799 4.017
Se 4.631 1.881 1.534
Se 0.617 0.000 4.962
Se 3.636 1.881 6.501
Se 4.631 -1.881 1.534
Se 7.650 0.000 3.072
Se 3.636 -1.881 6.501

=====

Number 2 is which compound?
TlSiAgSe3

=====

Copy entry 2 word for word.
12
Lattice="5.981 -3.813 0.000 5.981 3.813 0.000 -3.694 0.000 8.035" Properties=species:S:1:pos:R:3 comment="TlSiAgSe3 | Alexandria | PBE-GGA | relaxed" total_magnetization_mub_per_fu=0.0 final_energy_ev_per_atom=-3.7652 pbc="T T T"
Tl 1.411 0.000 1.871
Tl 6.857 0.000 6.164
Si 2.604 0.000 5.869
Si 5.663 0.000 2.166
Ag 4.134 1.799 4.017
Ag 4.134 -1.799 4.017
Se 4.631 1.881 1.534
Se 0.617 0.000 4.962
Se 3.636 1.881 6.501
Se 4.631 -1.881 1.534
Se 7.650 0.000 3.072
Se 3.636 -1.881 6.501